1.
This record from Alexandria describes a relaxed structure of Ac2LaAuO6. The functional is GGA-PBE.

The calculation puts the uncorrected energy at -6.972 eV/atom.

The structure belongs to space group P4mm (No. 99); the cell edges are 5.537, 5.537 and 6.283 Å and the angles 90.00°, 90.00° and 90.00°. The distinct sites, in fractional coordinates, are Ac at (0.000, 0.500, 0.000), La at (0.000, 0.000, 0.531), Au at (0.500, 0.500, 0.695), O at (0.000, 0.000, 0.157), O at (0.246, 0.246, 0.735) and O at (0.500, 0.500, 0.123).



2.
This record from Alexandria describes a relaxed structure of AcLaPAu. The functional is GGA-PBE.

As for the formation energy: -19.54 kcal/mol of atoms. The calculation puts the uncorrected energy at -5.278 eV/atom.

The structure belongs to space group F-43m (No. 216); the cell edges are 7.549, 7.549 and 7.549 Å and the angles 90.00°, 90.00° and 90.00°. The distinct sites, in fractional coordinates, are Ac at (0.000, 0.000, 0.000), La at (0.000, 0.000, 0.500), P at (0.250, 0.250, 0.250) and Au at (0.250, 0.250, 0.750).



| no. | magnetic moment (μB per atom) |
| --- | --- |
| 1 | 0.0000 |
| 2 | 0.1330 |